First-principles (GGA+U) data for an optimized crystal structure of CsMoF5, as listed in Alexandria.

Cell lengths 6.6402, 6.6402, 8.2797 Å; angles 106.48, 106.48, 76.10 degrees
With the nearest neighbours (Å) after each atom.
Element x y z (fractional)
Cs (0.0329, 0.9671, 0.7500)  6 F 2.94-3.03
Cs (0.9671, 0.0329, 0.2500)  6 F 2.94-3.03
Mo (0.5000, 0.5000, 0.0000)  6 F 1.96-2.11
Mo (0.5000, 0.5000, 0.5000)  6 F 1.96-2.11
F (0.2473, 0.7219, 0.0300)  1 Mo 1.97
F (0.2781, 0.7527, 0.4700)  1 Mo 1.97
F (0.2810, 0.3194, 0.4063)  1 Mo 1.96
F (0.3194, 0.2810, 0.9063)  1 Mo 1.96
F (0.4480, 0.5520, 0.7500)  2 Mo 2.11
F (0.5520, 0.4480, 0.2500)  2 Mo 2.11
F (0.6806, 0.7190, 0.0937)  1 Mo 1.96
F (0.7190, 0.6806, 0.5937)  1 Mo 1.96
F (0.7219, 0.2473, 0.5300)  1 Mo 1.97
F (0.7527, 0.2781, 0.9700)  1 Mo 1.97

Values from the calculation:
* SG: C2/c, No. 15
* total magnetization: 0.29 μB per atom
* total DFT energy (no corrections): -0.19006 Ha/atom